# 1
The following is a GGA-PBE calculation of a relaxed structure of MgTaW3, from the Alexandria database.

## Properties
* energy above the lowest structure with this stoichiometry: 221 meV/atom

Cell lengths 4.536, 4.536, 4.536 Å; angles 90.00, 90.00, 90.00 degrees
Element x y z (fractional)
Mg: 0.000 0.000 0.000
W: 0.000 0.500 0.000
W: 0.000 0.000 0.500
W: 0.500 0.000 0.000
Ta: 0.500 0.500 0.500

# 2
The following is a GGA-PBE calculation of a relaxed structure of RbCdSnSb2, from the Alexandria database.

## Properties
* formation energy (no corrections): -0.220 eV per atom

Cell lengths 4.925, 4.925, 8.375 Å; angles 107.10, 107.10, 90.00 degrees
Element x y z (fractional)
Rb: 0.000 0.000 0.000
Cd: 0.750 0.250 0.500
Sn: 0.250 0.750 0.500
Sb: 0.638 0.638 0.275
Sb: 0.362 0.362 0.725

# 3
The following is a GGA-PBE calculation of a relaxed structure of PrSc2O4, from the Alexandria database.

## Properties
* energy above the lowest structure with this stoichiometry: 0 meV/atom
* formation energy (no corrections): -3.279 eV per atom

Cell lengths 3.209, 5.510, 10.594 Å; angles 90.00, 90.00, 106.93 degrees
Element x y z (fractional)
Pr: 0.619 0.237 0.750
Pr: 0.381 0.763 0.250
Sc: 0.131 0.262 0.432
Sc: 0.869 0.738 0.932
Sc: 0.131 0.262 0.068
Sc: 0.869 0.738 0.568
O: 0.769 0.539 0.109
O: 0.769 0.539 0.391
O: 0.231 0.461 0.891
O: 0.231 0.461 0.609
O: 0.946 0.892 0.750
O: 0.054 0.108 0.250
O: 0.500 0.000 0.000
O: 0.500 0.000 0.500

# 4
The following is a GGA-PBE calculation of a relaxed structure of Ge2SbMo2, from the Alexandria database.

## Properties
* energy above the lowest structure with this stoichiometry: 38 meV/atom
* formation energy (no corrections): 0.122 eV per atom

Cell lengths 7.326, 7.326, 3.262 Å; angles 90.00, 90.00, 90.00 degrees
Element x y z (fractional)
Sb: 0.000 0.000 0.000
Sb: 0.500 0.500 0.000
Mo: 0.348 0.848 0.000
Mo: 0.848 0.652 0.000
Mo: 0.652 0.152 0.000
Mo: 0.152 0.348 0.000
Ge: 0.139 0.639 0.500
Ge: 0.639 0.861 0.500
Ge: 0.861 0.361 0.500
Ge: 0.361 0.139 0.500

| no. | Fermi-level density of states (states/eV per cell) |
| --- | --- |
| 1 | 5.75 |
| 2 | 1.82 |
| 3 | 2.57 |
| 4 | 7.64 |